1.
Density functional theory data (PBE-GGA) for crystalline CaTlAuSe at its relaxed geometry.

abc: 4.2173 4.2173 7.6011
angles: 90.00 90.00 120.00
Closest atoms and distances in Å follow each position.
Element x y z (fractional)
Tl1 0.6667 0.3333 0.8665  3 Au 3.15, 3 Se 3.17
Au1 0.3333 0.6667 0.1293  3 Ca 3.14, 3 Tl 3.15
Ca1 0.0000 0.0000 0.3909  3 Se 2.90, 3 Au 3.14
Se1 0.3333 0.6667 0.5985  3 Ca 2.90, 3 Tl 3.17

- Formation energy from raw total energies: -758.7 meV/atom
- Crystal system: trigonal
- Space-group type: P3m1



2.
Density functional theory data (PBE-GGA) for crystalline PrPa2Se6 at its relaxed geometry.

abc: 5.4645 7.5815 8.2161
angles: 73.21 70.58 68.88
Closest atoms and distances in Å follow each position.
Element x y z (fractional)
Pr1 0.0000 0.5000 0.5000  8 Se 3.02-3.30
Pa1 0.1835 0.7383 0.8946  6 Se 2.67-2.93
Pa2 0.8165 0.2617 0.1054  6 Se 2.67-2.93
Se1 0.7374 0.6455 0.8797  3 Pa 2.82-2.93
Se2 0.2626 0.3545 0.1203  3 Pa 2.82-2.93
Se3 0.9612 0.8600 0.2176  2 Pa 2.80-2.81, 1 Pr 3.02
Se4 0.3665 0.7117 0.5554  1 Pa 2.67
Se5 0.0388 0.1400 0.7824  2 Pa 2.80-2.81, 1 Pr 3.02
Se6 0.6335 0.2883 0.4446  1 Pa 2.67

- Formation energy from raw total energies: -1385.5 meV/atom
- Crystal system: monoclinic
- Space-group type: C2/m



What is the formation energy from raw total energies in the first record? -758.7 meV/atom



The highest formation energy from raw total energies belongs to which entry? CaTlAuSe



Look up the formation energy from raw total energies of the second one. -1385.5 meV/atom



formation energy from raw total energies of number 1 (CaTlAuSe)? -758.7 meV/atom